No. 1
A plane-wave DFT calculation with PBE was carried out for K5Bi4 after structural relaxation.

a b c (Å): 6.9849 6.9849 11.7153
angles (deg): 109.06 109.06 47.62
Last column: nearest neighbours and their distance in Å.
Element x y z (fractional)
K1 0.0000 0.0000 0.0000  4 Bi 3.61
K2 0.0947 0.0947 0.3862  7 Bi 3.75-3.86, 2 K 4.17-4.19
K3 0.2439 0.2439 0.8345  6 Bi 3.79-3.89, 4 K 4.17-4.23
K4 0.7561 0.7561 0.1655  6 Bi 3.79-3.89, 4 K 4.17-4.23
K5 0.9053 0.9053 0.6138  7 Bi 3.75-3.86, 2 K 4.17-4.19
Bi1 0.3903 0.3903 0.3922  2 Bi 3.01-3.03
Bi2 0.4556 0.4556 0.1695  1 Bi 3.01
Bi3 0.5444 0.5444 0.8305  1 Bi 3.01
Bi4 0.6097 0.6097 0.6078  2 Bi 3.01-3.03

## Properties
VASP energy ... -2.698 eV per atom
DFT formation energy ... -3.27 eV per formula unit
Crystal system ... monoclinic

=====

No. 2
A plane-wave DFT calculation with PBE was carried out for K3Bi after structural relaxation.

a b c (Å): 10.7757 10.7757 11.0436
angles (deg): 90.00 90.00 120.00
Last column: nearest neighbours and their distance in Å.
Element x y z (fractional)
K1 0.0000 0.0000 0.0000  3 Bi 3.60
K2 0.0000 0.0000 0.5000  3 Bi 3.60
K3 0.0000 0.3002 0.2814  3 Bi 3.68-3.88, 7 K 3.78-4.10
K4 0.0000 0.3622 0.6181  2 Bi 3.68-3.80, 7 K 3.78-4.11
K5 0.0000 0.6378 0.1181  2 Bi 3.68-3.80, 7 K 3.78-4.11
K6 0.0000 0.6998 0.7814  3 Bi 3.68-3.88, 7 K 3.78-4.10
K7 0.3002 0.0000 0.2814  3 Bi 3.68-3.88, 7 K 3.78-4.10
K8 0.3002 0.3002 0.7814  3 Bi 3.68-3.88, 7 K 3.78-4.10
K9 0.3333 0.6667 0.4234  3 Bi 3.62
K10 0.3333 0.6667 0.9234  3 Bi 3.62
K11 0.3622 0.0000 0.6181  2 Bi 3.68-3.80, 7 K 3.78-4.11
K12 0.3622 0.3622 0.1181  2 Bi 3.68-3.80, 7 K 3.78-4.11
K13 0.6378 0.0000 0.1181  2 Bi 3.68-3.80, 7 K 3.78-4.11
K14 0.6378 0.6378 0.6181  2 Bi 3.68-3.80, 7 K 3.78-4.11
K15 0.6667 0.3333 0.4234  3 Bi 3.62
K16 0.6667 0.3333 0.9234  3 Bi 3.62
K17 0.6998 0.0000 0.7814  3 Bi 3.68-3.88, 7 K 3.78-4.10
K18 0.6998 0.6998 0.2814  3 Bi 3.68-3.88, 7 K 3.78-4.10
Bi1 0.0000 0.3301 0.9497  8 K 3.60-3.88
Bi2 0.0000 0.6699 0.4497  8 K 3.60-3.88
Bi3 0.3301 0.0000 0.9497  8 K 3.60-3.88
Bi4 0.3301 0.3301 0.4497  8 K 3.60-3.88
Bi5 0.6699 0.0000 0.4497  8 K 3.60-3.88
Bi6 0.6699 0.6699 0.9497  8 K 3.60-3.88

## Properties
VASP energy ... -2.173 eV per atom
DFT formation energy ... -1.52 eV per formula unit
Crystal system ... hexagonal

=====

No. 3
A plane-wave DFT calculation with PBE was carried out for K2Bi3 after structural relaxation.

a b c (Å): 7.0490 7.0490 9.7188
angles (deg): 90.00 90.00 122.60
Last column: nearest neighbours and their distance in Å.
Element x y z (fractional)
K1 0.1490 0.8510 0.8987  8 Bi 3.75-3.98, 1 K 4.18
K2 0.3510 0.6490 0.3987  8 Bi 3.75-3.98, 1 K 4.18
K3 0.6490 0.3510 0.6013  8 Bi 3.75-3.98, 1 K 4.18
K4 0.8510 0.1490 0.1013  8 Bi 3.75-3.98, 1 K 4.18
Bi1 0.0000 0.0000 0.5000  4 Bi 3.24
Bi2 0.1436 0.3564 0.7500  4 Bi 3.24-3.38
Bi3 0.3564 0.1436 0.2500  4 Bi 3.24-3.38
Bi4 0.5000 0.5000 0.0000  4 Bi 3.24
Bi5 0.6436 0.8564 0.7500  4 Bi 3.24-3.38
Bi6 0.8564 0.6436 0.2500  4 Bi 3.24-3.38

## Properties
VASP energy ... -3.026 eV per atom
DFT formation energy ... -1.29 eV per formula unit
Crystal system ... orthorhombic

=====

No. 4
A plane-wave DFT calculation with PBE was carried out for KBi3 after structural relaxation.

a b c (Å): 5.0742 5.0742 5.0742
angles (deg): 90.00 90.00 90.00
Last column: nearest neighbours and their distance in Å.
Element x y z (fractional)
K1 0.0000 0.0000 0.0000  12 Bi 3.59
Bi1 0.0000 0.5000 0.5000  4 K 3.59, 8 Bi 3.59
Bi2 0.5000 0.0000 0.5000  4 K 3.59, 8 Bi 3.59
Bi3 0.5000 0.5000 0.0000  4 K 3.59, 8 Bi 3.59

## Properties
VASP energy ... -3.307 eV per atom
DFT formation energy ... -0.49 eV per formula unit
Crystal system ... cubic

=====

No. 5
A plane-wave DFT calculation with PBE was carried out for KBi2 after structural relaxation.

a b c (Å): 6.7638 6.7638 6.7638
angles (deg): 60.00 60.00 60.00
Last column: nearest neighbours and their distance in Å.
Element x y z (fractional)
K1 0.1250 0.1250 0.1250  12 Bi 3.97, 4 K 4.14
K2 0.8750 0.8750 0.8750  12 Bi 3.97, 4 K 4.14
Bi1 0.0000 0.5000 0.5000  6 Bi 3.38
Bi2 0.5000 0.0000 0.5000  6 Bi 3.38
Bi3 0.5000 0.5000 0.0000  6 Bi 3.38
Bi4 0.5000 0.5000 0.5000  6 Bi 3.38

## Properties
VASP energy ... -3.298 eV per atom
DFT formation energy ... -1.03 eV per formula unit
Crystal system ... cubic

=====

No. 6
A plane-wave DFT calculation with PBE was carried out for K3Bi after structural relaxation.

a b c (Å): 5.5758 5.5758 5.5801
angles (deg): 90.00 90.00 90.00
Last column: nearest neighbours and their distance in Å.
Element x y z (fractional)
K1 0.0000 0.0000 0.0000  8 K 3.94-3.95, 4 Bi 3.94
K2 0.0000 0.5000 0.4985  4 Bi 3.94-3.95, 8 K 3.94-3.95
K3 0.5000 0.0000 0.5015  4 Bi 3.94-3.95, 8 K 3.94-3.95
Bi1 0.5000 0.5000 0.0000  12 K 3.94-3.95

## Properties
VASP energy ... -2.017 eV per atom
DFT formation energy ... -0.90 eV per formula unit
Crystal system ... tetragonal

=====

No. 7
A plane-wave DFT calculation with PBE was carried out for KBi2 after structural relaxation.

a b c (Å): 7.0367 7.0367 7.0367
angles (deg): 144.95 144.95 50.42
Last column: nearest neighbours and their distance in Å.
Element x y z (fractional)
K1 0.0000 0.0000 0.0000  10 Bi 3.79-3.95, 4 K 4.24
Bi1 0.2977 0.2977 0.0000  4 Bi 3.23
Bi2 0.7023 0.7023 0.0000  4 Bi 3.23

## Properties
VASP energy ... -3.187 eV per atom
DFT formation energy ... -0.70 eV per formula unit
Crystal system ... tetragonal

=====

No. 8
A plane-wave DFT calculation with PBE was carried out for KBi5 after structural relaxation.

a b c (Å): 8.6538 8.6538 4.3718
angles (deg): 90.00 90.00 141.42
Last column: nearest neighbours and their distance in Å.
Element x y z (fractional)
K1 0.0000 0.0000 0.0000  12 Bi 3.60-3.89
Bi1 0.1969 0.8031 0.5000  8 Bi 3.32-3.68
Bi2 0.3498 0.6502 0.0000  8 Bi 3.29-3.68
Bi3 0.5000 0.5000 0.5000  4 Bi 3.29, 4 K 3.60
Bi4 0.6502 0.3498 0.0000  8 Bi 3.29-3.68
Bi5 0.8031 0.1969 0.5000  8 Bi 3.32-3.68

## Properties
VASP energy ... -3.441 eV per atom
DFT formation energy ... -0.15 eV per formula unit
Crystal system ... orthorhombic

=====

No. 9
A plane-wave DFT calculation with PBE was carried out for K3Bi4 after structural relaxation.

a b c (Å): 11.7610 11.7610 11.7610
angles (deg): 154.24 153.87 37.02
Last column: nearest neighbours and their distance in Å.
Element x y z (fractional)
K1 0.0000 0.0000 0.0000  12 Bi 4.05-4.14
K2 0.1878 0.6878 0.5000  7 Bi 3.73-3.87
K3 0.8122 0.3122 0.5000  7 Bi 3.73-3.87
Bi1 0.3578 0.8578 0.5000  2 Bi 3.07
Bi2 0.4291 0.4291 0.0000  3 Bi 3.07-3.16
Bi3 0.5709 0.5709 0.0000  3 Bi 3.07-3.16
Bi4 0.6422 0.1422 0.5000  2 Bi 3.07

## Properties
VASP energy ... -2.969 eV per atom
DFT formation energy ... -1.97 eV per formula unit
Crystal system ... orthorhombic

=====

No. 10
A plane-wave DFT calculation with PBE was carried out for KBi3 after structural relaxation.

a b c (Å): 6.2152 6.2152 6.2152
angles (deg): 131.32 131.32 71.31
Last column: nearest neighbours and their distance in Å.
Element x y z (fractional)
K1 0.0000 0.0000 0.0000  12 Bi 3.60-3.62
Bi1 0.2500 0.7500 0.5000  8 Bi 3.60-3.62, 4 K 3.60
Bi2 0.5000 0.5000 0.0000  8 Bi 3.60, 4 K 3.62
Bi3 0.7500 0.2500 0.5000  8 Bi 3.60-3.62, 4 K 3.60

## Properties
VASP energy ... -3.257 eV per atom
DFT formation energy ... -0.29 eV per formula unit
Crystal system ... tetragonal

=====

No. 11
A plane-wave DFT calculation with PBE was carried out for K5Bi2 after structural relaxation.

a b c (Å): 10.3821 10.3821 10.6575
angles (deg): 99.81 99.81 34.50
Last column: nearest neighbours and their distance in Å.
Element x y z (fractional)
K1 0.0515 0.5499 0.6840  4 Bi 3.68-3.94, 4 K 3.89-4.07
K2 0.1687 0.6659 0.0561  4 Bi 3.60-3.80, 3 K 3.90-3.91
K3 0.2470 0.7530 0.7500  8 K 3.89-3.91, 6 Bi 4.16-4.20
K4 0.3341 0.8313 0.4439  4 Bi 3.60-3.80, 3 K 3.90-3.91
K5 0.4501 0.9485 0.8160  4 Bi 3.68-3.94, 4 K 3.89-4.07
K6 0.5499 0.0515 0.1840  4 Bi 3.68-3.94, 4 K 3.89-4.07
K7 0.6659 0.1687 0.5561  4 Bi 3.60-3.80, 3 K 3.90-3.91
K8 0.7530 0.2470 0.2500  8 K 3.89-3.91, 6 Bi 4.16-4.20
K9 0.8313 0.3341 0.9439  4 Bi 3.60-3.80, 3 K 3.90-3.91
K10 0.9485 0.4501 0.3160  4 Bi 3.68-3.94, 4 K 3.89-4.07
Bi1 0.1364 0.6389 0.3798  8 K 3.60-3.94
Bi2 0.3611 0.8636 0.1202  8 K 3.60-3.94
Bi3 0.6389 0.1364 0.8798  8 K 3.60-3.94
Bi4 0.8636 0.3611 0.6202  8 K 3.60-3.94

## Properties
VASP energy ... -2.217 eV per atom
DFT formation energy ... -2.27 eV per formula unit
Crystal system ... monoclinic

=====

No. 12
A plane-wave DFT calculation with PBE was carried out for K5Bi after structural relaxation.

a b c (Å): 9.3496 9.3496 5.9607
angles (deg): 90.00 90.00 143.45
Last column: nearest neighbours and their distance in Å.
Element x y z (fractional)
K1 0.0000 0.0000 0.0000  8 K 3.88-3.89, 4 Bi 4.18
K2 0.1404 0.8596 0.5000  2 Bi 3.85, 6 K 3.89-4.18
K3 0.3573 0.6427 0.0000  6 K 3.88-4.18, 2 Bi 3.91
K4 0.6427 0.3573 0.0000  6 K 3.88-4.18, 2 Bi 3.91
K5 0.8596 0.1404 0.5000  2 Bi 3.85, 6 K 3.89-4.18
Bi1 0.5000 0.5000 0.5000  12 K 3.85-4.18

## Properties
VASP energy ... -1.731 eV per atom
DFT formation energy ... -1.02 eV per formula unit
Crystal system ... orthorhombic